[1]
Material: ScGaSe3
Method: DFT, PBE-GGA
State: optimized geometry

```
ScGaSe3
1.0
5.208 0.000 0.000
0.000 5.208 0.000
0.000 0.000 5.208
Sc Ga Se
1 1 3
Direct
0.000 0.000 0.000 Sc
0.500 0.500 0.500 Ga
0.000 0.000 0.500 Se
0.000 0.500 0.000 Se
0.500 0.000 0.000 Se
```

Its crystal system is cubic. Its relative energy among the computed polymorphs is 48.7 kJ per mole of atoms. The energy relative to the elements, uncorrected is -0.513 eV/atom.

=====

[2]
Material: ScGa3Se
Method: DFT, PBE-GGA
State: optimized geometry

```
ScGa3Se
1.0
5.306 0.000 0.000
0.000 5.306 0.000
0.000 0.000 5.306
Sc Ga Se
1 3 1
Direct
0.000 0.000 0.000 Sc
0.000 0.000 0.500 Ga
0.000 0.500 0.000 Ga
0.500 0.000 0.000 Ga
0.500 0.500 0.500 Se
```

Its crystal system is cubic. Its relative energy among the computed polymorphs is 14.8 kJ per mole of atoms. The energy relative to the elements, uncorrected is 0.564 eV/atom.

=====

[3]
Material: Sc2Ga2Se
Method: DFT, PBE-GGA
State: optimized geometry

```
Sc2Ga2Se
1.0
7.007 0.000 0.000
0.000 7.007 0.000
0.000 0.000 4.282
Sc Ga Se
4 4 2
Direct
0.168 0.332 0.000 Sc
0.332 0.832 0.000 Sc
0.668 0.168 0.000 Sc
0.832 0.668 0.000 Sc
0.133 0.633 0.500 Ga
0.367 0.133 0.500 Ga
0.633 0.867 0.500 Ga
0.867 0.367 0.500 Ga
0.000 0.000 0.000 Se
0.500 0.500 0.000 Se
```

Its crystal system is tetragonal. The energy relative to the elements, uncorrected is -0.754 eV/atom.

=====

[4]
Material: Sc2GaSe4
Method: DFT, PBE-GGA
State: optimized geometry

```
Sc2GaSe4
1.0
7.178 -1.919 0.000
7.178 1.919 0.000
-2.959 0.000 6.141
Sc Ga Se
2 1 4
Direct
0.236 0.236 0.219 Sc
0.764 0.764 0.781 Sc
0.500 0.500 0.500 Ga
0.138 0.138 0.485 Se
0.376 0.376 0.048 Se
0.624 0.624 0.952 Se
0.862 0.862 0.515 Se
```

Its crystal system is monoclinic. The energy relative to the elements, uncorrected is -1.265 eV/atom.

=====

[5]
Material: Sc4GaTe2Se
Method: DFT, PBE-GGA
State: optimized geometry

```
Sc4GaTe2Se
1.0
6.973 0.000 0.000
0.000 3.999 0.000
-2.292 0.000 6.683
Sc Ga Te Se
4 1 2 1
Direct
0.234 0.000 0.222 Sc
0.251 0.500 0.780 Sc
0.749 0.500 0.220 Sc
0.766 0.000 0.778 Sc
0.000 0.500 0.000 Ga
0.000 0.000 0.500 Te
0.500 0.500 0.500 Te
0.500 0.000 0.000 Se
```

Its crystal system is monoclinic. The energy relative to the elements, uncorrected is -1.125 eV/atom.

=====

[6]
Material: Sc3Tl3GaSe8
Method: DFT, PBE-GGA
State: optimized geometry

```
Sc3Tl3GaSe8
1.0
6.808 -3.928 0.000
6.808 3.928 0.000
-4.546 0.000 7.644
Sc Tl Ga Se
3 3 1 8
Direct
0.000 0.000 0.000 Sc
0.000 0.500 0.000 Sc
0.500 0.000 0.000 Sc
0.000 0.500 0.500 Tl
0.500 0.000 0.500 Tl
0.500 0.500 0.500 Tl
0.500 0.500 0.000 Ga
0.233 0.233 0.198 Se
0.238 0.727 0.192 Se
0.273 0.273 0.808 Se
0.273 0.762 0.808 Se
0.727 0.238 0.192 Se
0.727 0.727 0.192 Se
0.762 0.273 0.808 Se
0.767 0.767 0.802 Se
```

Its crystal system is monoclinic. The energy relative to the elements, uncorrected is -1.040 eV/atom.

=====

[7]
Material: YScGaSe2
Method: DFT, PBE-GGA
State: optimized geometry

```
YScGaSe2
1.0
5.159 0.000 0.000
0.000 5.159 0.000
0.000 0.000 4.913
Y Sc Ga Se
1 1 1 2
Direct
0.000 0.000 0.000 Y
0.500 0.500 0.000 Sc
0.500 0.500 0.500 Ga
0.000 0.500 0.500 Se
0.500 0.000 0.500 Se
```

Its crystal system is tetragonal. The energy relative to the elements, uncorrected is -0.111 eV/atom.

=====

[8]
Material: ScGaSi
Method: DFT, PBE-GGA
State: optimized geometry

```
ScGaSi
1.0
5.061 -1.977 0.000
5.061 1.977 0.000
-3.943 0.000 5.164
Sc Ga Si
2 2 2
Direct
0.073 0.073 0.329 Sc
0.927 0.927 0.671 Sc
0.345 0.345 0.908 Ga
0.655 0.655 0.092 Ga
0.353 0.353 0.315 Si
0.647 0.647 0.685 Si
```

Its crystal system is monoclinic. The energy relative to the elements, uncorrected is -0.543 eV/atom.

=====

[9]
Material: ScGa2Si2
Method: DFT, PBE-GGA
State: optimized geometry

```
ScGa2Si2
1.0
-2.105 2.105 5.176
2.105 -2.105 5.176
2.105 2.105 -5.176
Sc Ga Si
1 2 2
Direct
0.000 0.000 0.000 Sc
0.384 0.384 0.000 Ga
0.616 0.616 0.000 Ga
0.250 0.750 0.500 Si
0.750 0.250 0.500 Si
```

Its crystal system is tetragonal. Its relative energy among the computed polymorphs is 20.9 kJ per mole of atoms. The energy relative to the elements, uncorrected is 0.090 eV/atom.

=====

[10]
Material: Sc4Ga3Si
Method: DFT, PBE-GGA
State: optimized geometry

```
Sc4Ga3Si
1.0
3.809 0.000 0.000
0.000 4.064 0.000
0.000 0.000 10.155
Sc Ga Si
4 3 1
Direct
0.000 0.000 0.000 Sc
0.000 0.500 0.491 Sc
0.500 0.000 0.718 Sc
0.500 0.500 0.219 Sc
0.000 0.500 0.773 Ga
0.500 0.000 0.437 Ga
0.500 0.500 0.941 Ga
0.000 0.000 0.276 Si
```

Its crystal system is orthorhombic. The energy relative to the elements, uncorrected is -0.663 eV/atom.

=====

[11]
Material: ScGa2Si
Method: DFT, PBE-GGA
State: optimized geometry

```
ScGa2Si
1.0
4.019 0.000 0.000
0.000 4.019 0.000
0.000 0.000 4.187
Sc Ga Si
1 2 1
Direct
0.000 0.000 0.000 Sc
0.000 0.500 0.500 Ga
0.500 0.000 0.500 Ga
0.500 0.500 0.000 Si
```

Its crystal system is tetragonal. The energy relative to the elements, uncorrected is -0.393 eV/atom.

=====

[12]
Material: ScGaSi
Method: DFT, PBE-GGA
State: optimized geometry

```
ScGaSi
1.0
1.953 -7.506 0.000
1.953 7.506 0.000
0.000 0.000 3.710
Sc Ga Si
2 2 2
Direct
0.091 0.909 0.500 Sc
0.909 0.091 0.000 Sc
0.281 0.719 0.505 Ga
0.719 0.281 0.005 Ga
0.448 0.552 0.500 Si
0.552 0.448 0.000 Si
```

Its crystal system is orthorhombic. The energy relative to the elements, uncorrected is -0.509 eV/atom.

=====

Computed values of uncorrected energy (unit: eV per atom) for the preceding records, in sequence: -4.475; -3.215; -5.194; -5.497; -5.890; -4.840; -4.669; -5.470; -4.556; -5.642; -4.845; -5.436.